Record 1
# GGA-PBE Ca2HoMg, relaxed
# Excess energy over the best structure of this formula in the dataset = 14.2 meV/atom
# Crystal system = trigonal
# DFT formation energy = 0.379 eV per formula unit
data_Ca2HoMg
_chemical_formula_sum 'Ca6 Ho3 Mg3'
_cell_length_a 3.6708
_cell_length_b 3.6708
_cell_length_c 34.9927
_cell_angle_alpha 90.00
_cell_angle_beta 90.00
_cell_angle_gamma 120.00
_space_group_name_H-M_alt 'R 3 m'
_space_group_IT_number 160
_space_group_name_Hall 'R 3 -2"'
loop_
_atom_site_label
_atom_site_type_symbol
_atom_site_fract_x
_atom_site_fract_y
_atom_site_fract_z
Ca1 Ca 0.0000 0.0000 0.0000
Ca2 Ca 0.0000 0.0000 0.1735
Ho1 Ho 0.0000 0.0000 0.4204
Mg1 Mg 0.0000 0.0000 0.5865

---

Record 2
# GGA-PBE KTcIr2, relaxed
# Excess energy over the best structure of this formula in the dataset = 406.3 meV/atom
# Crystal system = orthorhombic
# DFT formation energy = 3.045 eV per formula unit
data_KTcIr2
_chemical_formula_sum 'K2 Tc2 Ir4'
_cell_length_a 2.8133
_cell_length_b 4.7079
_cell_length_c 10.4442
_cell_angle_alpha 90.00
_cell_angle_beta 90.00
_cell_angle_gamma 90.00
_space_group_name_H-M_alt 'C m m 2'
_space_group_IT_number 35
_space_group_name_Hall 'C 2 -2'
loop_
_atom_site_label
_atom_site_type_symbol
_atom_site_fract_x
_atom_site_fract_y
_atom_site_fract_z
K1 K 0.0000 0.0000 0.0000
Tc1 Tc 0.0000 0.5000 0.2948
Ir1 Ir 0.0000 0.0000 0.5063
Ir2 Ir 0.0000 0.5000 0.7320

---

Record 3
# GGA-PBE NdLuCoIr, relaxed
# Crystal system = cubic
# DFT formation energy = -1.683 eV per formula unit
data_NdLuCoIr
_chemical_formula_sum 'Nd4 Lu4 Co4 Ir4'
_cell_length_a 6.8433
_cell_length_b 6.8433
_cell_length_c 6.8433
_cell_angle_alpha 90.00
_cell_angle_beta 90.00
_cell_angle_gamma 90.00
_space_group_name_H-M_alt 'F -4 3 m'
_space_group_IT_number 216
_space_group_name_Hall 'F -4 2 3'
loop_
_atom_site_label
_atom_site_type_symbol
_atom_site_fract_x
_atom_site_fract_y
_atom_site_fract_z
Nd1 Nd 0.0000 0.0000 0.0000
Lu1 Lu 0.0000 0.0000 0.5000
Co1 Co 0.2500 0.2500 0.2500
Ir1 Ir 0.2500 0.2500 0.7500

---

Record 4
# GGA-PBE MnCr2Cl, relaxed
# Excess energy over the best structure of this formula in the dataset = 633.3 meV/atom
# Crystal system = cubic
# Energy relative to the elements, uncorrected = 0.729 eV per atom
data_MnCr2Cl
_chemical_formula_sum 'Mn4 Cr8 Cl4'
_cell_length_a 6.3269
_cell_length_b 6.3269
_cell_length_c 6.3269
_cell_angle_alpha 90.00
_cell_angle_beta 90.00
_cell_angle_gamma 90.00
_space_group_name_H-M_alt 'F -4 3 m'
_space_group_IT_number 216
_space_group_name_Hall 'F -4 2 3'
loop_
_atom_site_label
_atom_site_type_symbol
_atom_site_fract_x
_atom_site_fract_y
_atom_site_fract_z
Mn1 Mn 0.0000 0.0000 0.0000
Cr1 Cr 0.0000 0.0000 0.5000
Cr2 Cr 0.2500 0.2500 0.2500
Cl1 Cl 0.2500 0.2500 0.7500

---

Record 5
# GGA-PBE Sc2RuCl, relaxed
# Excess energy over the best structure of this formula in the dataset = 238.3 meV/atom
# Crystal system = orthorhombic
# Energy relative to the elements, uncorrected = -0.754 eV per atom
data_Sc2RuCl
_chemical_formula_sum 'Sc4 Ru2 Cl2'
_cell_length_a 3.2185
_cell_length_b 3.4818
_cell_length_c 14.4324
_cell_angle_alpha 90.00
_cell_angle_beta 90.00
_cell_angle_gamma 90.00
_space_group_name_H-M_alt 'I m m 2'
_space_group_IT_number 44
_space_group_name_Hall 'I 2 -2'
loop_
_atom_site_label
_atom_site_type_symbol
_atom_site_fract_x
_atom_site_fract_y
_atom_site_fract_z
Sc1 Sc 0.0000 0.0000 0.0000
Sc2 Sc 0.0000 0.5000 0.2871
Ru1 Ru 0.0000 0.0000 0.4133
Cl1 Cl 0.0000 0.5000 0.6616

---

Record 6
# GGA-PBE Ba2MgCd16, relaxed
# Crystal system = trigonal
# DFT formation energy = -3.715 eV per formula unit
data_Ba2MgCd16
_chemical_formula_sum 'Ba6 Mg3 Cd48'
_cell_length_a 10.3908
_cell_length_b 10.3908
_cell_length_c 15.2909
_cell_angle_alpha 90.00
_cell_angle_beta 90.00
_cell_angle_gamma 120.00
_space_group_name_H-M_alt 'R 3 m'
_space_group_IT_number 160
_space_group_name_Hall 'R 3 -2"'
loop_
_atom_site_label
_atom_site_type_symbol
_atom_site_fract_x
_atom_site_fract_y
_atom_site_fract_z
Ba1 Ba 0.0000 0.0000 0.0000
Ba2 Ba 0.0000 0.0000 0.3241
Mg1 Mg 0.0000 0.0000 0.5680
Cd1 Cd 0.0000 0.0000 0.7649
Cd2 Cd 0.0002 0.2934 0.6618
Cd3 Cd 0.0030 0.5015 0.1618
Cd4 Cd 0.0059 0.5029 0.8120
Cd5 Cd 0.1714 0.3429 0.8448